La2HW | Alexandria | PBE | optimized geometry; distance to the lowest polymorph of the same formula = 0 meV/atom
1.0
-4.958 -0.350 0.287
-2.454 2.341 3.645
-2.840 3.953 -1.050
H W La
1 1 2
Direct
0.000 0.000 0.000 H
0.500 0.500 0.500 W
0.250 0.250 0.250 La
0.750 0.750 0.750 La

***

LaH7W2 | Alexandria | PBE | optimized geometry; uncorrected energy = -53.93 eV/f.u.
1.0
-0.475 3.457 -0.052
-5.190 -0.713 -0.011
2.575 0.427 4.929
La H W
1 7 2
Direct
0.000 0.000 0.000 La
0.000 0.380 0.759 H
0.000 0.620 0.241 H
0.500 0.308 0.288 H
0.500 0.692 0.712 H
0.500 0.020 0.712 H
0.500 0.980 0.288 H
0.500 0.500 0.000 H
0.500 0.314 0.628 W
0.500 0.686 0.372 W

***

LaY2HW | Alexandria | PBE | optimized geometry; uncorrected energy = -32.58 eV/f.u.
1.0
-2.795 -4.161 1.048
0.494 -1.292 -3.812
4.246 -2.500 1.397
Y H W La
2 1 1 1
Direct
0.000 0.000 0.500 Y
0.500 0.000 0.000 Y
0.000 0.000 0.000 H
0.000 0.500 0.000 W
0.500 0.500 0.500 La

***

LaYH4 | Alexandria | PBE | optimized geometry; uncorrected energy = -28.88 eV/f.u.
1.0
3.798 0.000 0.002
0.000 3.799 0.002
-0.002 -0.003 5.490
La Y H
1 1 4
Direct
0.501 0.497 0.998 La
0.001 0.997 0.498 Y
0.501 0.997 0.271 H
0.501 0.997 0.725 H
0.001 0.497 0.725 H
0.001 0.497 0.271 H

***

LaY2H2 | Alexandria | PBE | optimized geometry; distance to the lowest polymorph of the same formula = 268 meV/atom
1.0
-3.953 -4.371 -3.719
-1.466 -3.597 5.786
-3.645 2.670 0.737
Y H La
4 4 2
Direct
0.169 0.669 0.500 Y
0.669 0.831 0.500 Y
0.831 0.331 0.500 Y
0.331 0.169 0.500 Y
0.198 0.698 0.000 H
0.698 0.802 0.000 H
0.802 0.302 0.000 H
0.302 0.198 0.000 H
0.000 0.000 0.000 La
0.500 0.500 0.000 La

***

LaY2H2 | Alexandria | PBE | optimized geometry; distance to the lowest polymorph of the same formula = 765 meV/atom
1.0
-3.816 -5.016 -6.190
7.247 0.666 -5.007
1.154 -2.524 1.334
Y H La
4 4 2
Direct
0.377 0.877 0.000 Y
0.877 0.623 0.000 Y
0.623 0.123 0.000 Y
0.123 0.377 0.000 Y
0.081 0.581 0.500 H
0.581 0.919 0.500 H
0.919 0.419 0.500 H
0.419 0.081 0.500 H
0.000 0.000 0.000 La
0.500 0.500 0.000 La

***

LaYH | Alexandria | PBE | optimized geometry; distance to the lowest polymorph of the same formula = 8 meV/atom
1.0
-0.625 2.961 2.126
0.584 -3.609 5.204
5.785 1.127 0.132
Y H La
2 2 2
Direct
0.753 0.420 0.998 Y
0.253 0.920 0.006 Y
0.254 0.253 0.221 H
0.754 0.753 0.783 H
0.752 0.081 0.511 La
0.251 0.581 0.493 La

***

LaY2H | Alexandria | PBE | optimized geometry; distance to the lowest polymorph of the same formula = 902 meV/atom
1.0
0.380 -4.470 -2.941
-3.508 -0.916 -3.953
1.590 0.282 -5.115
Y H La
2 1 1
Direct
0.250 0.250 0.250 Y
0.750 0.750 0.750 Y
0.000 0.000 0.000 H
0.500 0.500 0.500 La

***

La2Y4H | Alexandria | PBE | optimized geometry; uncorrected energy = -38.53 eV/f.u.
1.0
-4.504 1.586 -1.261
1.152 -0.524 -4.773
-4.643 -7.740 -2.825
Y H La
4 1 2
Direct
0.852 0.852 0.296 Y
0.148 0.148 0.704 Y
0.000 0.500 0.000 Y
0.500 0.000 0.000 Y
0.000 0.000 0.000 H
0.649 0.649 0.701 La
0.351 0.351 0.299 La

***

LaY2H8 | Alexandria | PBE | optimized geometry; uncorrected energy = -51.49 eV/f.u.
1.0
3.554 0.000 -1.082
-0.797 4.612 -2.619
0.022 0.550 6.453
La Y H
1 2 8
Direct
0.500 0.000 0.000 La
0.171 0.671 0.341 Y
0.829 0.329 0.659 Y
0.667 0.898 0.334 H
0.333 0.564 0.666 H
0.156 0.156 0.312 H
0.000 0.291 0.000 H
0.844 0.844 0.688 H
0.667 0.436 0.334 H
0.333 0.102 0.666 H
0.000 0.709 0.000 H

***

La3Y5H12 | Alexandria | PBE | optimized geometry; uncorrected energy = -97.01 eV/f.u.
1.0
-5.986 9.898 -1.481
-5.804 -8.829 -4.936
1.296 -2.091 11.399
La Y H
12 20 48
Direct
0.750 0.375 0.125 La
0.875 0.750 0.125 La
0.375 0.750 0.625 La
0.250 0.125 0.375 La
0.875 0.125 0.250 La
0.375 0.625 0.250 La
0.625 0.375 0.750 La
0.125 0.875 0.750 La
0.750 0.875 0.625 La
0.625 0.250 0.375 La
0.125 0.250 0.875 La
0.250 0.625 0.875 La
0.125 0.375 0.250 Y
0.000 0.500 0.000 Y
0.000 0.000 0.000 Y
0.375 0.250 0.125 Y
0.500 0.000 0.500 Y
0.500 0.500 0.000 Y
0.125 0.750 0.375 Y
0.750 0.125 0.875 Y
0.750 0.625 0.375 Y
0.375 0.125 0.750 Y
0.625 0.875 0.250 Y
0.500 0.500 0.500 Y
0.500 0.000 0.000 Y
0.000 0.000 0.500 Y
0.250 0.375 0.625 Y
0.250 0.875 0.125 Y
0.000 0.500 0.500 Y
0.875 0.250 0.625 Y
0.625 0.750 0.875 Y
0.875 0.625 0.750 Y
0.718 0.141 0.056 H
0.338 0.556 0.415 H
0.944 0.359 0.282 H
0.556 0.218 0.141 H
0.577 0.718 0.662 H
0.944 0.585 0.162 H
0.338 0.782 0.423 H
0.085 0.923 0.141 H
0.585 0.944 0.662 H
0.718 0.577 0.162 H
0.782 0.444 0.359 H
0.838 0.915 0.056 H
0.141 0.718 0.556 H
0.359 0.415 0.077 H
0.077 0.915 0.359 H
0.423 0.141 0.585 H
0.077 0.162 0.218 H
0.444 0.662 0.085 H
0.838 0.923 0.282 H
0.141 0.423 0.085 H
0.359 0.944 0.782 H
0.585 0.641 0.423 H
0.915 0.838 0.556 H
0.782 0.338 0.923 H
0.415 0.359 0.577 H
0.085 0.162 0.444 H
0.218 0.662 0.077 H
0.162 0.077 0.718 H
0.641 0.056 0.218 H
0.859 0.577 0.915 H
0.556 0.338 0.915 H
0.577 0.859 0.415 H
0.923 0.838 0.782 H
0.923 0.085 0.641 H
0.859 0.282 0.444 H
0.162 0.085 0.944 H
0.641 0.585 0.923 H
0.415 0.056 0.338 H
0.282 0.423 0.838 H
0.218 0.556 0.641 H
0.915 0.077 0.859 H
0.662 0.218 0.577 H
0.444 0.782 0.859 H
0.056 0.415 0.838 H
0.423 0.282 0.338 H
0.056 0.641 0.718 H
0.662 0.444 0.585 H
0.282 0.859 0.944 H

***

LaYH | Alexandria | PBE | optimized geometry; distance to the lowest polymorph of the same formula = 0 meV/atom
1.0
-2.198 2.552 -1.505
-0.687 -1.253 3.401
3.426 4.290 2.273
Y H La
1 1 1
Direct
0.333 0.667 0.565 Y
0.667 0.333 0.351 H
0.000 0.000 0.084 La

***

Number 1: mass density 8.802 g/cm³. Number 2: mass density 9.473 g/cm³. Number 3: mass density 7.831 g/cm³. Number 4: mass density 4.860 g/cm³. Number 5: mass density 4.762 g/cm³. Number 6: mass density 4.405 g/cm³. Number 7: mass density 5.482 g/cm³. Number 8: mass density 4.834 g/cm³. Number 9: mass density 4.915 g/cm³. Number 10: mass density 4.838 g/cm³. Number 11: mass density 4.751 g/cm³. Number 12: mass density 5.426 g/cm³.